1.
Entry from the Alexandria database: a geometry-optimized ZrZnSeBr2 structure (GGA-PBEsol). Values from VASP.

Cell and atoms, written as Quantum ESPRESSO input:
```
&SYSTEM
  ibrav = 0, nat = 5, ntyp = 4
/
ATOMIC_SPECIES
Zn 65.41 Zn.upf
Se 78.96 Se.upf
Br 79.90 Br.upf
Zr 91.22 Zr.upf
ATOMIC_POSITIONS crystal
Zn 0.0000 0.0000 0.0000
Se 0.0000 0.0000 0.5000
Br 0.0000 0.5000 0.0000
Br 0.5000 0.0000 0.0000
Zr 0.5000 0.5000 0.5000
CELL_PARAMETERS angstrom
-1.2251 -1.4428 -4.4728
3.6108 -3.2476 0.0586
-3.0977 -3.4089 1.9481
```

## Properties
V, Å³/f.u.: 118
Space group: P4/mmm

***

2.
Entry from the Alexandria database: a geometry-optimized ZrZnSeBr2 structure (GGA-PBEsol). Values from VASP.

Cell and atoms, written as Quantum ESPRESSO input:
```
&SYSTEM
  ibrav = 0, nat = 5, ntyp = 4
/
ATOMIC_SPECIES
Zn 65.41 Zn.upf
Se 78.96 Se.upf
Br 79.90 Br.upf
Zr 91.22 Zr.upf
ATOMIC_POSITIONS crystal
Zn 0.5000 0.5000 0.5000
Se 0.5000 0.0000 0.0000
Br 0.0000 0.0000 0.5000
Br 0.0000 0.5000 0.0000
Zr 0.0000 0.0000 0.0000
CELL_PARAMETERS angstrom
5.1117 0.0000 0.0000
0.0000 5.2957 0.0000
0.0000 0.0000 5.2957
```

## Properties
V, Å³/f.u.: 143
Space group: P4/mmm

***

3.
Entry from the Alexandria database: a geometry-optimized ZrSeBr2 structure (GGA-PBEsol). Values from VASP.

Cell and atoms, written as Quantum ESPRESSO input:
```
&SYSTEM
  ibrav = 0, nat = 4, ntyp = 3
/
ATOMIC_SPECIES
Br 79.90 Br.upf
Se 78.96 Se.upf
Zr 91.22 Zr.upf
ATOMIC_POSITIONS crystal
Br 0.7500 0.2500 0.5000
Br 0.2500 0.7500 0.5000
Se 0.5000 0.5000 0.0000
Zr 0.0000 0.0000 0.0000
CELL_PARAMETERS angstrom
-1.2723 0.7040 4.2399
-1.5297 -4.2064 0.2394
5.0639 0.4936 -0.9317
```

## Properties
V, Å³/f.u.: 82
Space group: I4/mmm

***

4.
Entry from the Alexandria database: a geometry-optimized ZrSeBr2 structure (GGA-PBEsol). Values from VASP.

Cell and atoms, written as Quantum ESPRESSO input:
```
&SYSTEM
  ibrav = 0, nat = 4, ntyp = 3
/
ATOMIC_SPECIES
Br 79.90 Br.upf
Se 78.96 Se.upf
Zr 91.22 Zr.upf
ATOMIC_POSITIONS crystal
Br 0.0000 0.2150 0.4300
Br 0.5000 0.5308 0.0617
Se 0.0000 0.9054 0.8109
Zr 0.5000 0.3543 0.7086
CELL_PARAMETERS angstrom
-2.4724 -2.5549 0.1206
0.8555 -1.0026 -3.7017
4.6768 -4.3210 4.3367
```

## Properties
V, Å³/f.u.: 104
Space group: Amm2

***

5.
Entry from the Alexandria database: a geometry-optimized ZrSe2Br structure (GGA-PBEsol). Values from VASP.

Cell and atoms, written as Quantum ESPRESSO input:
```
&SYSTEM
  ibrav = 0, nat = 4, ntyp = 3
/
ATOMIC_SPECIES
Br 79.90 Br.upf
Se 78.96 Se.upf
Zr 91.22 Zr.upf
ATOMIC_POSITIONS crystal
Br 0.0000 0.5000 0.5000
Se 0.0000 0.0000 0.0000
Se 0.5000 0.5000 0.0000
Zr 0.5000 0.0000 0.5000
CELL_PARAMETERS angstrom
3.5580 0.0000 0.0000
0.0000 4.3370 0.0000
0.0000 0.0000 5.2261
```

## Properties
V, Å³/f.u.: 81
Space group: Pmmm

***

6.
Entry from the Alexandria database: a geometry-optimized ZrSeBr structure (GGA-PBEsol). Values from VASP.

Cell and atoms, written as Quantum ESPRESSO input:
```
&SYSTEM
  ibrav = 0, nat = 3, ntyp = 3
/
ATOMIC_SPECIES
Br 79.90 Br.upf
Se 78.96 Se.upf
Zr 91.22 Zr.upf
ATOMIC_POSITIONS crystal
Br 0.0000 0.0000 0.0000
Se 0.5000 0.5000 0.5000
Zr 0.2500 0.2500 0.2500
CELL_PARAMETERS angstrom
-2.9624 2.5705 2.4973
-2.5515 -1.9832 3.3432
0.9088 0.9120 4.4679
```

## Properties
V, Å³/f.u.: 71
Space group: F-43m

***

7.
Entry from the Alexandria database: a geometry-optimized Zr2SeBr structure (GGA-PBEsol). Values from VASP.

Cell and atoms, written as Quantum ESPRESSO input:
```
&SYSTEM
  ibrav = 0, nat = 4, ntyp = 3
/
ATOMIC_SPECIES
Br 79.90 Br.upf
Se 78.96 Se.upf
Zr 91.22 Zr.upf
ATOMIC_POSITIONS crystal
Br 0.0000 0.0000 0.4819
Se 0.5000 0.5000 0.8254
Zr 0.0000 0.0000 0.9448
Zr 0.5000 0.5000 0.2480
CELL_PARAMETERS angstrom
-0.4770 -1.9353 -2.9403
-2.8779 -1.4941 1.4504
-3.8486 4.8928 -2.5961
```

## Properties
V, Å³/f.u.: 85
Space group: P4mm

***

8.
Entry from the Alexandria database: a geometry-optimized ZrSe2Br structure (GGA-PBEsol). Values from VASP.

Cell and atoms, written as Quantum ESPRESSO input:
```
&SYSTEM
  ibrav = 0, nat = 4, ntyp = 3
/
ATOMIC_SPECIES
Br 79.90 Br.upf
Se 78.96 Se.upf
Zr 91.22 Zr.upf
ATOMIC_POSITIONS crystal
Br 0.5000 0.0000 0.0000
Se 0.0000 0.0000 0.5000
Se 0.0000 0.5000 0.0000
Zr 0.5000 0.5000 0.5000
CELL_PARAMETERS angstrom
-2.8122 -1.5507 -1.0527
1.8024 -0.1874 -4.5391
2.0245 -4.3385 0.9830
```

## Properties
V, Å³/f.u.: 81
Space group: P4/mmm

***

9.
Entry from the Alexandria database: a geometry-optimized Zr2SeBr structure (GGA-PBEsol). Values from VASP.

Cell and atoms, written as Quantum ESPRESSO input:
```
&SYSTEM
  ibrav = 0, nat = 4, ntyp = 3
/
ATOMIC_SPECIES
Br 79.90 Br.upf
Se 78.96 Se.upf
Zr 91.22 Zr.upf
ATOMIC_POSITIONS crystal
Br 0.4865 0.4865 0.5406
Se 0.2666 0.2666 0.2002
Zr 0.9952 0.9952 0.0144
Zr 0.7517 0.7517 0.7448
CELL_PARAMETERS angstrom
3.5177 0.0000 0.0000
1.7588 3.0464 0.0000
1.7588 1.0155 8.9586
```

## Properties
V, Å³/f.u.: 96
Space group: R3m

***

10.
Entry from the Alexandria database: a geometry-optimized ZrSeBr2 structure (GGA-PBEsol). Values from VASP.

Cell and atoms, written as Quantum ESPRESSO input:
```
&SYSTEM
  ibrav = 0, nat = 4, ntyp = 3
/
ATOMIC_SPECIES
Br 79.90 Br.upf
Se 78.96 Se.upf
Zr 91.22 Zr.upf
ATOMIC_POSITIONS crystal
Br 0.0000 0.5000 0.0000
Br 0.0000 0.0000 0.5000
Se 0.5000 0.0000 0.0000
Zr 0.5000 0.5000 0.5000
CELL_PARAMETERS angstrom
-1.5965 2.8151 -0.1014
-0.4047 -0.4213 -5.3261
-4.1553 -2.2661 2.5113
```

## Properties
V, Å³/f.u.: 86
Space group: Cmmm

***

11.
Entry from the Alexandria database: a geometry-optimized Zr2SeBr structure (GGA-PBEsol). Values from VASP.

Cell and atoms, written as Quantum ESPRESSO input:
```
&SYSTEM
  ibrav = 0, nat = 4, ntyp = 3
/
ATOMIC_SPECIES
Br 79.90 Br.upf
Se 78.96 Se.upf
Zr 91.22 Zr.upf
ATOMIC_POSITIONS crystal
Br 0.5000 0.5000 0.5000
Se 0.0000 0.5000 0.0000
Zr 0.2700 0.0000 0.2195
Zr 0.7300 0.0000 0.7805
CELL_PARAMETERS angstrom
3.4097 0.0000 0.0218
0.0000 4.3268 0.0000
-0.3083 0.0000 5.8695
```

## Properties
V, Å³/f.u.: 87
Space group: P2/m

***

12.
Entry from the Alexandria database: a geometry-optimized Zr2SeBr structure (GGA-PBEsol). Values from VASP.

Cell and atoms, written as Quantum ESPRESSO input:
```
&SYSTEM
  ibrav = 0, nat = 4, ntyp = 3
/
ATOMIC_SPECIES
Br 79.90 Br.upf
Se 78.96 Se.upf
Zr 91.22 Zr.upf
ATOMIC_POSITIONS crystal
Br 0.0000 0.0000 0.0000
Se 0.5000 0.5000 0.5000
Zr 0.2500 0.2500 0.2500
Zr 0.7500 0.7500 0.7500
CELL_PARAMETERS angstrom
4.7213 0.0000 0.0000
2.3607 4.0888 0.0000
2.3607 1.3629 3.8549
```

## Properties
V, Å³/f.u.: 74
Space group: Fm-3m

***

13.
Entry from the Alexandria database: a geometry-optimized SiBr5 structure (GGA-PBEsol). Values from VASP.

Cell and atoms, written as Quantum ESPRESSO input:
```
&SYSTEM
  ibrav = 0, nat = 6, ntyp = 2
/
ATOMIC_SPECIES
Br 79.90 Br.upf
Si 28.09 Si.upf
ATOMIC_POSITIONS crystal
Br 0.2500 0.2500 0.2500
Br 0.6250 0.1251 0.6250
Br 0.6250 0.6250 0.1251
Br 0.6250 0.6250 0.6250
Br 0.1251 0.6250 0.6250
Si 0.0000 0.0000 0.0000
CELL_PARAMETERS angstrom
-1.2324 0.9284 -5.7626
1.7757 -3.9489 -4.1038
-4.0174 -3.4233 -2.7802
```

## Properties
V, Å³/f.u.: 150
Space group: F-43m

***

14.
Entry from the Alexandria database: a geometry-optimized SiBr structure (GGA-PBEsol). Values from VASP.

Cell and atoms, written as Quantum ESPRESSO input:
```
&SYSTEM
  ibrav = 0, nat = 4, ntyp = 2
/
ATOMIC_SPECIES
Si 28.09 Si.upf
Br 79.90 Br.upf
ATOMIC_POSITIONS crystal
Si 0.2403 0.3879 0.4807
Si 0.7597 0.6121 0.5193
Br 0.6005 0.8103 0.2010
Br 0.3995 0.1897 0.7990
CELL_PARAMETERS angstrom
3.8890 0.0000 0.0000
0.0000 5.7448 -0.1077
-1.9445 -1.1282 5.2030
```

## Properties
V, Å³/f.u.: 58
Space group: C2/m

***

15.
Entry from the Alexandria database: a geometry-optimized Si2Br structure (GGA-PBEsol). Values from VASP.

Cell and atoms, written as Quantum ESPRESSO input:
```
&SYSTEM
  ibrav = 0, nat = 6, ntyp = 2
/
ATOMIC_SPECIES
Si 28.09 Si.upf
Br 79.90 Br.upf
ATOMIC_POSITIONS crystal
Si 0.1669 0.3338 0.1702
Si 0.5000 0.0001 0.1037
Si 0.5000 0.9999 0.8963
Si 0.8331 0.6662 0.8298
Br 0.8328 0.6656 0.6331
Br 0.1672 0.3344 0.3669
CELL_PARAMETERS angstrom
-3.5374 -1.4651 0.6040
2.4435 -1.7742 -2.4302
4.0370 -6.1984 8.6091
```

## Properties
V, Å³/f.u.: 74
Space group: C2/m

***

16.
Entry from the Alexandria database: a geometry-optimized SiBr4 structure (GGA-PBEsol). Values from VASP.

Cell and atoms, written as Quantum ESPRESSO input:
```
&SYSTEM
  ibrav = 0, nat = 20, ntyp = 2
/
ATOMIC_SPECIES
Si 28.09 Si.upf
Br 79.90 Br.upf
ATOMIC_POSITIONS crystal
Si 0.9282 0.7496 0.8510
Si 0.5718 0.7496 0.3510
Si 0.0718 0.2504 0.1490
Si 0.4282 0.2504 0.6490
Br 0.5790 0.0829 0.7026
Br 0.5815 0.2970 0.4812
Br 0.9348 0.5746 0.6840
Br 0.3823 0.1952 0.0956
Br 0.9185 0.2970 0.9812
Br 0.4348 0.4254 0.8160
Br 0.6177 0.8048 0.9044
Br 0.4210 0.9171 0.2974
Br 0.0790 0.9171 0.7974
Br 0.0652 0.4254 0.3160
Br 0.4185 0.7030 0.5188
Br 0.8823 0.8048 0.4044
Br 0.0815 0.7030 0.0188
Br 0.1177 0.1952 0.5956
Br 0.9210 0.0829 0.2026
Br 0.5652 0.5746 0.1840
CELL_PARAMETERS angstrom
-0.0779 2.9105 -6.0646
5.8667 -7.6849 -3.7635
-9.8818 -3.3446 -1.4782
```

## Properties
V, Å³/f.u.: 178
Space group: P2_1/c

***

17.
Entry from the Alexandria database: a geometry-optimized SiBr structure (GGA-PBEsol). Values from VASP.

Cell and atoms, written as Quantum ESPRESSO input:
```
&SYSTEM
  ibrav = 0, nat = 4, ntyp = 2
/
ATOMIC_SPECIES
Si 28.09 Si.upf
Br 79.90 Br.upf
ATOMIC_POSITIONS crystal
Si 0.6825 0.6825 0.9524
Si 0.3175 0.3175 0.0476
Br 0.0960 0.0960 0.7120
Br 0.9040 0.9040 0.2880
CELL_PARAMETERS angstrom
3.8612 0.0000 0.0000
1.9306 3.3439 0.0000
1.9306 1.1146 7.4605
```

## Properties
V, Å³/f.u.: 48
Space group: R-3m

***

18.
Entry from the Alexandria database: a geometry-optimized SiBr4 structure (GGA-PBEsol). Values from VASP.

Cell and atoms, written as Quantum ESPRESSO input:
```
&SYSTEM
  ibrav = 0, nat = 40, ntyp = 2
/
ATOMIC_SPECIES
Br 79.90 Br.upf
Si 28.09 Si.upf
ATOMIC_POSITIONS crystal
Br 0.2452 0.2452 0.2452
Br 0.2548 0.7548 0.7452
Br 0.7548 0.7452 0.2548
Br 0.7452 0.2548 0.7548
Br 0.7548 0.7548 0.7548
Br 0.7452 0.2452 0.2548
Br 0.2452 0.2548 0.7452
Br 0.2548 0.7452 0.2452
Br 0.0263 0.0110 0.2453
Br 0.4737 0.9890 0.7453
Br 0.9737 0.5110 0.2547
Br 0.5263 0.4890 0.7547
Br 0.2453 0.0263 0.0110
Br 0.7453 0.4737 0.9890
Br 0.2547 0.9737 0.5110
Br 0.7547 0.5263 0.4890
Br 0.0110 0.2453 0.0263
Br 0.9890 0.7453 0.4737
Br 0.5110 0.2547 0.9737
Br 0.4890 0.7547 0.5263
Br 0.9737 0.9890 0.7547
Br 0.5263 0.0110 0.2547
Br 0.0263 0.4890 0.7453
Br 0.4737 0.5110 0.2453
Br 0.7547 0.9737 0.9890
Br 0.2547 0.5263 0.0110
Br 0.7453 0.0263 0.4890
Br 0.2453 0.4737 0.5110
Br 0.9890 0.7547 0.9737
Br 0.0110 0.2547 0.5263
Br 0.4890 0.7453 0.0263
Br 0.5110 0.2453 0.4737
Si 0.1320 0.1320 0.1320
Si 0.3680 0.8680 0.6320
Si 0.8680 0.6320 0.3680
Si 0.6320 0.3680 0.8680
Si 0.8680 0.8680 0.8680
Si 0.6320 0.1320 0.3680
Si 0.1320 0.3680 0.6320
Si 0.3680 0.6320 0.1320
CELL_PARAMETERS angstrom
11.2002 0.0000 0.0000
0.0000 11.2002 0.0000
0.0000 0.0000 11.2002
```

## Properties
V, Å³/f.u.: 176
Space group: Pa-3

***

19.
Entry from the Alexandria database: a geometry-optimized Si2SnBr structure (GGA-PBEsol). Values from VASP.

Cell and atoms, written as Quantum ESPRESSO input:
```
&SYSTEM
  ibrav = 0, nat = 8, ntyp = 3
/
ATOMIC_SPECIES
Si 28.09 Si.upf
Sn 118.71 Sn.upf
Br 79.90 Br.upf
ATOMIC_POSITIONS crystal
Si 0.3793 0.8750 0.2500
Si 0.8707 0.3750 0.2500
Si 0.1250 0.1293 0.7500
Si 0.6250 0.6207 0.7500
Sn 0.2500 0.7500 0.5000
Sn 0.0000 0.0000 0.0000
Br 0.7500 0.2500 0.5000
Br 0.5000 0.5000 0.0000
CELL_PARAMETERS angstrom
5.3810 0.0000 0.0000
0.0000 5.3810 0.0000
-2.6905 -2.6905 7.4046
```

## Properties
V, Å³/f.u.: 107
Space group: I-42d

***

20.
Entry from the Alexandria database: a geometry-optimized SiSnBr2 structure (GGA-PBEsol). Values from VASP.

Cell and atoms, written as Quantum ESPRESSO input:
```
&SYSTEM
  ibrav = 0, nat = 8, ntyp = 3
/
ATOMIC_SPECIES
Si 28.09 Si.upf
Sn 118.71 Sn.upf
Br 79.90 Br.upf
ATOMIC_POSITIONS crystal
Si 0.7500 0.2500 0.5000
Si 0.5000 0.5000 0.0000
Sn 0.2500 0.7500 0.5000
Sn 0.0000 0.0000 0.0000
Br 0.3898 0.8750 0.2500
Br 0.8602 0.3750 0.2500
Br 0.1250 0.1398 0.7500
Br 0.6250 0.6102 0.7500
CELL_PARAMETERS angstrom
4.6987 0.0000 0.0000
0.0000 4.6987 0.0000
-2.3493 -2.3493 9.5218
```

## Properties
V, Å³/f.u.: 105
Space group: I-42d

***

In eV per atom, the formation energy (no corrections) values for the records above are, in order, -0.01 -0.60 -0.42 -1.13 -0.28 -0.94 -0.96 -0.21 -0.93 -0.05 -0.61 -0.77 0.68 -0.02 -0.27 -0.77 -0.05 -0.77 0.63 0.14.
In μB/f.u., the magnetization values for the records above are, in order, 1.82 0.00 0.00 0.00 0.00 1.00 0.00 0.00 0.00 0.00 0.00 0.00 0.00 0.00 0.00 0.00 0.00 0.00 0.00 0.00.